AcNdPt (PBE, optimized geometry); ΔH_f (0 K) = -0.73 eV/atom; ρ = 8.7 Mg/m³; spin magnetization = 0.00 μB/f.u.; crystal system = trigonal; symmetry = No. 156
1.0
6.7174 0.0000 0.0000
0.0000 4.3118 0.0000
0.0000 -2.1559 3.7341
Nd Pt Ac
1 1 1
direct
0.7648 0.6667 0.3333 Nd
0.9891 0.0000 0.0000 Pt
0.2461 0.3333 0.6667 Ac